Below is a relaxed structure of ZrTiHg2, with properties calculated at the GGA-PBEsol level.

* calculated density: 11511 kg/m³
* DOS(E_F): 2.94 states/eV/f.u.
* energy: -4.7977 eV per atom
* DFT formation energy: -0.1613 eV/atom
* crystal system: cubic

abc: 4.795 4.795 4.795
angles: 60.00 60.00 60.00
Positions (direct):
1 Hg 0.250 0.250 0.250
2 Hg 0.750 0.750 0.750
3 Zr 0.500 0.500 0.500
4 Ti 0.000 0.000 0.000